1.
# Ni7GeSb2H2 | Alexandria via LeMat-Bulk | PBE | optimized geometry
data_Ni7GeSb2H2
_space_group_name_H-M_alt 'I 4/m m m'
_space_group_IT_number 139
_space_group_name_Hall '-I 4 2'
_cell_length_a 3.723
_cell_length_b 3.723
_cell_length_c 19.888
_cell_angle_alpha 90.00
_cell_angle_beta 90.00
_cell_angle_gamma 90.00
loop_
_atom_site_label
_atom_site_type_symbol
_atom_site_fract_x
_atom_site_fract_y
_atom_site_fract_z
Ni1 Ni 0.000 0.000 0.000
Ni2 Ni 0.000 0.000 0.178
Ni3 Ni 0.000 0.500 0.087
Ge1 Ge 0.000 0.000 0.500
Sb1 Sb 0.000 0.000 0.308
H1 H 0.000 0.000 0.088
# * E: -124.5 eV/cell

2.
# Sc2Ni6GeH | Alexandria via LeMat-Bulk | PBE | optimized geometry
data_Sc2Ni6GeH
_space_group_name_H-M_alt 'C 1 2/m 1'
_space_group_IT_number 12
_cell_length_a 8.830
_cell_length_b 5.090
_cell_length_c 6.335
_cell_angle_alpha 90.00
_cell_angle_beta 117.81
_cell_angle_gamma 90.00
loop_
_space_group_symop_operation_xyz
'x,y,z'
'-x,-y,-z'
'-x,y,-z'
'x,-y,z'
'x+1/2,y+1/2,z'
'-x+1/2,-y+1/2,-z'
'-x+1/2,y+1/2,-z'
'x+1/2,-y+1/2,z'
loop_
_atom_site_label
_atom_site_type_symbol
_atom_site_fract_x
_atom_site_fract_y
_atom_site_fract_z
Sc1 Sc 0.218 0.000 0.157
Ni1 Ni 0.024 0.251 0.324
Ni2 Ni 0.227 0.000 0.673
Ge1 Ge 0.000 0.500 0.000
H1 H 0.000 0.000 0.500
# * E: -118.9 eV/cell

3.
# ScNiGeH | Alexandria via LeMat-Bulk | PBE | optimized geometry
data_ScNiGeH
_space_group_name_H-M_alt 'P 4/n m m'
_space_group_IT_number 129
_cell_length_a 3.790
_cell_length_b 3.790
_cell_length_c 6.917
_cell_angle_alpha 90.00
_cell_angle_beta 90.00
_cell_angle_gamma 90.00
loop_
_space_group_symop_operation_xyz
'x,y,z'
'-x,-y,-z'
'-y+1/2,x,z'
'y+1/2,-x,-z'
'-x+1/2,-y+1/2,z'
'x+1/2,y+1/2,-z'
'y,-x+1/2,z'
'-y,x+1/2,-z'
'x+1/2,-y,-z'
'-x+1/2,y,z'
'-y,-x,-z'
'y,x,z'
'-x,y+1/2,-z'
'x,-y+1/2,z'
'y+1/2,x+1/2,-z'
'-y+1/2,-x+1/2,z'
loop_
_atom_site_label
_atom_site_type_symbol
_atom_site_fract_x
_atom_site_fract_y
_atom_site_fract_z
Sc1 Sc 0.250 0.250 0.151
Ni1 Ni 0.250 0.750 0.500
Ge1 Ge 0.250 0.250 0.703
H1 H 0.250 0.750 0.000
# * E: -45.3 eV/cell

4.
# Sc2NiGeH | Alexandria via LeMat-Bulk | PBE | optimized geometry
data_Sc2NiGeH
_space_group_name_H-M_alt 'P 4/m m m'
_space_group_IT_number 123
_space_group_name_Hall '-P 4 2'
_cell_length_a 4.411
_cell_length_b 4.411
_cell_length_c 3.620
_cell_angle_alpha 90.00
_cell_angle_beta 90.00
_cell_angle_gamma 90.00
loop_
_atom_site_label
_atom_site_type_symbol
_atom_site_fract_x
_atom_site_fract_y
_atom_site_fract_z
Sc1 Sc 0.000 0.500 0.000
Ni1 Ni 0.000 0.000 0.500
Ge1 Ge 0.500 0.500 0.500
H1 H 0.000 0.000 0.000
# * E: -29.4 eV/cell

5.
# Sm2Ni12GeH3 | Alexandria via LeMat-Bulk | PBE | optimized geometry
data_Sm2Ni12GeH3
_space_group_name_H-M_alt 'R -3 m'
_space_group_IT_number 166
_space_group_name_Hall '-R 3 2"'
_cell_length_a 6.5253
_cell_length_b 6.5253
_cell_length_c 17.5664
_cell_angle_alpha 90.00
_cell_angle_beta 90.00
_cell_angle_gamma 120.00
loop_
_atom_site_label
_atom_site_type_symbol
_atom_site_fract_x
_atom_site_fract_y
_atom_site_fract_z
Sm1 Sm 0.0000 0.0000 0.0993
Ni1 Ni 0.0488 0.5244 0.8924
Ni2 Ni 0.0834 0.5417 0.3244
Ge1 Ge 0.0000 0.0000 0.5000
H1 H 0.0000 0.5000 0.0000
# * E: -285.8 eV/cell

6.
# Sm2Ni5Ge3H2 | Alexandria via LeMat-Bulk | PBE | optimized geometry
data_Sm2Ni5Ge3H2
_space_group_name_H-M_alt 'I 4/m m m'
_space_group_IT_number 139
_space_group_name_Hall '-I 4 2'
_cell_length_a 3.994
_cell_length_b 3.994
_cell_length_c 20.661
_cell_angle_alpha 90.00
_cell_angle_beta 90.00
_cell_angle_gamma 90.00
loop_
_atom_site_label
_atom_site_type_symbol
_atom_site_fract_x
_atom_site_fract_y
_atom_site_fract_z
Sm1 Sm 0.000 0.000 0.192
Ni1 Ni 0.000 0.000 0.000
Ni2 Ni 0.000 0.500 0.076
Ge1 Ge 0.000 0.000 0.350
Ge2 Ge 0.000 0.000 0.500
H1 H 0.000 0.000 0.078
# * E: -127.2 eV/cell

7.
# Sm2Ni2Ge2H | Alexandria via LeMat-Bulk | PBE | optimized geometry
data_Sm2Ni2Ge2H
_space_group_name_H-M_alt 'C 1 2/m 1'
_space_group_IT_number 12
_cell_length_a 10.673
_cell_length_b 4.105
_cell_length_c 7.031
_cell_angle_alpha 90.00
_cell_angle_beta 130.89
_cell_angle_gamma 90.00
loop_
_space_group_symop_operation_xyz
'x,y,z'
'-x,-y,-z'
'-x,y,-z'
'x,-y,z'
'x+1/2,y+1/2,z'
'-x+1/2,-y+1/2,-z'
'-x+1/2,y+1/2,-z'
'x+1/2,-y+1/2,z'
loop_
_atom_site_label
_atom_site_type_symbol
_atom_site_fract_x
_atom_site_fract_y
_atom_site_fract_z
Sm1 Sm 0.050 0.000 0.288
Ni1 Ni 0.195 0.500 0.086
Ge1 Ge 0.164 0.500 0.704
H1 H 0.000 0.500 0.000
# * E: -76.6 eV/cell

8.
# SmNiGeH | Alexandria via LeMat-Bulk | PBE | optimized geometry
data_SmNiGeH
_space_group_name_H-M_alt 'P 3 m 1'
_space_group_IT_number 156
_cell_length_a 4.1061
_cell_length_b 4.1061
_cell_length_c 4.1748
_cell_angle_alpha 90.00
_cell_angle_beta 90.00
_cell_angle_gamma 120.00
loop_
_space_group_symop_operation_xyz
'x,y,z'
'-y,x-y,z'
'-x+y,-x,z'
'-y,-x,z'
'-x+y,y,z'
'x,x-y,z'
loop_
_atom_site_label
_atom_site_type_symbol
_atom_site_fract_x
_atom_site_fract_y
_atom_site_fract_z
Sm1 Sm 0.0000 0.0000 0.0000
Ni1 Ni 0.6667 0.3333 0.5367
Ge1 Ge 0.3333 0.6667 0.4836
H1 H 0.6667 0.3333 0.9188
# * E: -21.1 eV/cell

9.
# SrNi2GeH | Alexandria via LeMat-Bulk | PBE | optimized geometry
data_SrNi2GeH
_space_group_name_H-M_alt 'P 4/m m m'
_space_group_IT_number 123
_space_group_name_Hall '-P 4 2'
_cell_length_a 4.929
_cell_length_b 4.929
_cell_length_c 5.967
_cell_angle_alpha 90.00
_cell_angle_beta 90.00
_cell_angle_gamma 90.00
loop_
_atom_site_label
_atom_site_type_symbol
_atom_site_fract_x
_atom_site_fract_y
_atom_site_fract_z
Sr1 Sr 0.000 0.000 0.000
Ni1 Ni 0.000 0.500 0.000
Ge1 Ge 0.000 0.000 0.500
H1 H 0.500 0.500 0.500
# * E: -10.9 eV/cell

10.
# SrNi2GeH | Alexandria via LeMat-Bulk | PBE | optimized geometry
data_SrNi2GeH
_space_group_name_H-M_alt 'C m c m'
_space_group_IT_number 63
_space_group_name_Hall '-C 2c 2'
_cell_length_a 3.802
_cell_length_b 10.946
_cell_length_c 7.034
_cell_angle_alpha 90.00
_cell_angle_beta 90.00
_cell_angle_gamma 90.00
loop_
_atom_site_label
_atom_site_type_symbol
_atom_site_fract_x
_atom_site_fract_y
_atom_site_fract_z
Sr1 Sr 0.000 0.051 0.250
Ni1 Ni 0.000 0.331 0.060
Ge1 Ge 0.000 0.226 0.750
H1 H 0.000 0.500 0.000
# * E: -93.1 eV/cell

11.
# Ta2NiGeH | Alexandria via LeMat-Bulk | PBE | optimized geometry
data_Ta2NiGeH
_space_group_name_H-M_alt 'P 4/m m m'
_space_group_IT_number 123
_space_group_name_Hall '-P 4 2'
_cell_length_a 4.060
_cell_length_b 4.060
_cell_length_c 3.880
_cell_angle_alpha 90.00
_cell_angle_beta 90.00
_cell_angle_gamma 90.00
loop_
_atom_site_label
_atom_site_type_symbol
_atom_site_fract_x
_atom_site_fract_y
_atom_site_fract_z
Ta1 Ta 0.000 0.500 0.000
Ni1 Ni 0.000 0.000 0.500
Ge1 Ge 0.500 0.500 0.500
H1 H 0.000 0.000 0.000
# * E: -38.1 eV/cell

12.
# TbNiGeH | Alexandria via LeMat-Bulk | PBE | optimized geometry
data_TbNiGeH
_space_group_name_H-M_alt 'P -6 m 2'
_space_group_IT_number 187
_space_group_name_Hall 'P -6 2'
_cell_length_a 4.2170
_cell_length_b 4.2170
_cell_length_c 3.6597
_cell_angle_alpha 90.00
_cell_angle_beta 90.00
_cell_angle_gamma 120.00
loop_
_atom_site_label
_atom_site_type_symbol
_atom_site_fract_x
_atom_site_fract_y
_atom_site_fract_z
Tb1 Tb 0.0000 0.0000 0.0000
Ni1 Ni 0.6667 0.3333 0.5000
Ge1 Ge 0.3333 0.6667 0.5000
H1 H 0.6667 0.3333 0.0000
# * E: -21.1 eV/cell